## BaGa2Bi (PBE)

Data for a geometry-optimized BaGa2Bi structure.

Cell: 8.683 8.683 7.051 Å, 52.00 52.00 90.00°
Sites, in units of the cell vectors:
Bi 0.000 0.000 0.000
Bi 0.750 0.250 0.500
Ga 0.669 0.125 0.250
Ga 0.081 0.625 0.250
Ga 0.375 0.331 0.750
Ga 0.875 0.919 0.750
Ba 0.500 0.500 0.000
Ba 0.250 0.750 0.500

Energy of formation from the pure elements: -242 meV per atom
Total energy: -3.2067 eV per atom